This record from the Alexandria database describes an optimized crystal structure of PmFeP2O8. The functional is GGA+U.

DOS at the Fermi energy	0.00	states/eV/atom
total DFT energy (no corrections)	-7.428	eV per atom

Cell: 5.730 5.730 5.730 Å, 105.57 105.57 117.59°
Fractional coordinates of all 12 atoms:
Pm 0.000 0.000 0.000
Fe 0.750 0.250 0.500
P 0.250 0.750 0.500
P 0.500 0.500 0.000
O 0.078 0.410 0.332
O 0.078 0.746 0.668
O 0.162 0.342 0.820
O 0.254 0.922 0.332
O 0.523 0.342 0.180
O 0.590 0.922 0.668
O 0.658 0.477 0.820
O 0.658 0.838 0.180